Material: InMoPO2
Method: DFT, PBE+U
State: relaxed

Computed properties:
Crystal system: tetragonal
Relative energy among the computed polymorphs in eV/f.u.: 0.00
Total energy in eV/atom: -5.807

abc: 3.917 3.917 5.334
angles: 90.00 90.00 90.00
Last column: magnetic moment on the atom in μB.
Sites, in units of the cell vectors:
1 O 0.000 0.500 0.000  -0.09
2 O 0.500 0.000 0.000  -0.09
3 In 0.500 0.500 0.500  0.01
4 P 0.000 0.000 0.500  -0.04
5 Mo 0.000 0.000 0.000  1.53